The following is a DFT calculation (SCAN) of Pr2Sb4Ir3 at its PBEsol-relaxed geometry.

Computed properties:
Raw total energy   -50.755 eV per atom
Mass density   11.1 Mg/m³
Energy relative to the elements, uncorrected   -0.87 eV/atom

Structure (CIF):
```
data_Pr2Sb4Ir3
_cell_length_a 16.116
_cell_length_b 4.539
_cell_length_c 10.970
_cell_angle_alpha 90.00
_cell_angle_beta 90.00
_cell_angle_gamma 90.00
_symmetry_space_group_name_H-M 'P n m a'
_symmetry_Int_Tables_number 62
loop_
_symmetry_equiv_pos_as_xyz
'x,y,z'
'-x,-y,-z'
'-x+1/2,-y,z+1/2'
'x+1/2,y,-z+1/2'
'x+1/2,-y+1/2,-z+1/2'
'-x+1/2,y+1/2,z+1/2'
'-x,y+1/2,-z'
'x,-y+1/2,z'
loop_
_atom_site_label
_atom_site_type_symbol
_atom_site_fract_x
_atom_site_fract_y
_atom_site_fract_z
_atom_site_occupancy
Pr1 Pr 0.007 0.250 0.249 1
Pr2 Pr 0.248 0.750 0.590 1
Sb1 Sb 0.068 0.750 0.448 1
Sb2 Sb 0.106 0.750 0.062 1
Sb3 Sb 0.151 0.250 0.776 1
Sb4 Sb 0.211 0.250 0.387 1
Ir1 Ir 0.056 0.250 0.966 1
Ir2 Ir 0.093 0.250 0.557 1
Ir3 Ir 0.181 0.750 0.277 1
```



The following is a DFT calculation (SCAN) of Pr2ZnIr at its PBEsol-relaxed geometry.

Computed properties:
Raw total energy   -43.371 eV per atom
Mass density   9.8 Mg/m³
Energy of formation from the pure elements   -0.55 eV per atom

Structure (CIF):
```
data_Pr2ZnIr
_cell_length_a 7.145
_cell_length_b 7.145
_cell_length_c 7.145
_cell_angle_alpha 90.00
_cell_angle_beta 90.00
_cell_angle_gamma 90.00
_symmetry_space_group_name_H-M 'F m -3 m'
_symmetry_Int_Tables_number 225
_symmetry_space_group_name_Hall '-F 4 2 3'
loop_
_atom_site_label
_atom_site_type_symbol
_atom_site_fract_x
_atom_site_fract_y
_atom_site_fract_z
_atom_site_occupancy
Pr1 Pr 0.250 0.250 0.250 1
Zn1 Zn 0.000 0.000 0.000 1
Ir1 Ir 0.000 0.000 0.500 1
```



The following is a DFT calculation (SCAN) of Ir3Pt at its PBEsol-relaxed geometry.

Computed properties:
Raw total energy   -70.804 eV per atom
Mass density   22.4 Mg/m³
Energy of formation from the pure elements   0.07 eV per atom

Structure (CIF):
```
data_Ir3Pt
_cell_length_a 9.021
_cell_length_b 2.729
_cell_length_c 4.712
_cell_angle_alpha 90.00
_cell_angle_beta 99.99
_cell_angle_gamma 90.00
_symmetry_space_group_name_H-M 'C 1 2/m 1'
_symmetry_Int_Tables_number 12
loop_
_symmetry_equiv_pos_as_xyz
'x,y,z'
'-x,-y,-z'
'-x,y,-z'
'x,-y,z'
'x+1/2,y+1/2,z'
'-x+1/2,-y+1/2,-z'
'-x+1/2,y+1/2,-z'
'x+1/2,-y+1/2,z'
loop_
_atom_site_label
_atom_site_type_symbol
_atom_site_fract_x
_atom_site_fract_y
_atom_site_fract_z
_atom_site_occupancy
Ir1 Ir 0.000 0.000 0.000 1
Ir2 Ir 0.247 0.500 0.245 1
Pt1 Pt 0.000 0.500 0.500 1
```



The following is a DFT calculation (SCAN) of IrPt at its PBEsol-relaxed geometry.

Computed properties:
Raw total energy   -70.530 eV per atom
Mass density   22.2 Mg/m³
Energy of formation from the pure elements   0.12 eV per atom

Structure (CIF):
```
data_IrPt
_cell_length_a 2.7510
_cell_length_b 2.7510
_cell_length_c 13.2784
_cell_angle_alpha 90.00
_cell_angle_beta 90.00
_cell_angle_gamma 120.00
_symmetry_space_group_name_H-M 'R -3 m'
_symmetry_Int_Tables_number 166
_symmetry_space_group_name_Hall '-R 3 2"'
loop_
_atom_site_label
_atom_site_type_symbol
_atom_site_fract_x
_atom_site_fract_y
_atom_site_fract_z
_atom_site_occupancy
Ir1 Ir 0.0000 0.0000 0.0000 1
Pt1 Pt 0.0000 0.0000 0.5000 1
```